InGaAu5: relaxed, PBE-GGA.

## Properties
ΔH_f (0 K)	-0.66	eV/f.u.
spin magnetization	0.0	μB per cell
V	139	Å³/f.u.

a = 9.131 Å, b = 6.301 Å, c = 10.039 Å
α = 90.00°, β = 106.18°, γ = 90.00°
Space group C2/c (No. 15)
Asymmetric unit:
In (0.250, 0.250, 0.000) (multiplicity 4)
Ga (0.000, 0.175, 0.250) (multiplicity 4)
Au (0.000, 0.241, 0.750) (multiplicity 4)
Au (0.099, 0.325, 0.504) (multiplicity 8)
Au (0.232, 0.455, 0.277) (multiplicity 8)